a.
## NpBr3F (PBE-GGA)

Data for crystalline NpBr3F at its relaxed geometry.

Results
* M_tot: 6.00 μB/cell

a b c (Å): 7.028 7.028 7.835
angles (deg): 120.70 120.70 77.76
Fractional positions:
1 Np 0.123 0.123 0.390
2 Np 0.877 0.877 0.610
3 Br 0.190 0.190 0.102
4 Br 0.251 0.624 0.695
5 Br 0.376 0.749 0.305
6 Br 0.624 0.251 0.695
7 Br 0.749 0.376 0.305
8 Br 0.810 0.810 0.898
9 F 0.137 0.137 0.679
10 F 0.863 0.863 0.321



b.
## NpBr3F (PBE-GGA)

Data for crystalline NpBr3F at its relaxed geometry.

Results
* M_tot: 6.00 μB/cell

a b c (Å): 7.388 7.388 7.388
angles (deg): 106.68 109.36 112.43
Fractional positions:
1 Np 0.064 0.250 0.314
2 Np 0.936 0.750 0.686
3 Br 0.223 0.571 0.751
4 Br 0.223 0.973 0.152
5 Br 0.244 0.086 0.658
6 Br 0.428 0.586 0.342
7 Br 0.821 0.071 0.848
8 Br 0.821 0.473 0.249
9 F 0.731 0.508 0.723
10 F 0.784 0.008 0.277



What is the most stable structure shown above? It is b.